1.
5
Lattice="4.993 0.000 0.000 0.000 4.993 0.000 0.000 0.000 6.214" Properties=species:S:1:pos:R:3 comment="RbNi2SnPb, relaxed, DFT PBE" energy_ev_per_cell=-15.3 volume_a3_per_cell=154.9 e_form_ev_per_atom=0.99 spacegroup="No. 123" pbc="T T T"
Rb 0.000 0.000 0.000
Ni 0.000 2.497 3.107
Ni 2.497 0.000 3.107
Sn 2.497 2.497 0.000
Pb 0.000 0.000 3.107

---

2.
5
Lattice="5.334 0.000 0.000 0.000 5.334 0.000 0.000 0.000 5.330" Properties=species:S:1:pos:R:3 comment="RbTl2NiPb, relaxed, DFT PBE" energy_ev_per_cell=-14.8 volume_a3_per_cell=151.7 e_form_ev_per_atom=0.08 spacegroup="No. 123" pbc="T T T"
Rb 0.000 0.000 0.000
Tl 0.000 2.667 2.665
Tl 2.667 0.000 2.665
Ni 2.667 2.667 2.665
Pb 2.667 2.667 0.000

---

Which formula does entry 1 have? RbNi2SnPb